The following is a DFT calculation (PBE) of Dy2HgI after structural relaxation.

POSCAR file:
```
Dy2HgI
1.0
1.910 1.103 9.092
-1.910 1.103 9.092
0.000 -2.206 9.092
Dy Hg I
2 1 1
Direct
0.000 0.000 0.000 Dy
0.172 0.172 0.172 Dy
0.586 0.586 0.586 Hg
0.753 0.753 0.753 I
```

The relative energy among the computed polymorphs comes out at 0 meV/atom. As for the symmetry: R3m. The uncorrected formation energy comes out at -0.562 eV/atom.

---

The following is a DFT calculation (PBE) of DyHgI3 after structural relaxation.

POSCAR file:
```
DyHgI3
1.0
3.835 2.214 10.576
-3.835 2.214 10.576
0.000 -4.428 10.576
Dy Hg I
2 2 6
Direct
0.167 0.167 0.167 Dy
0.833 0.833 0.833 Dy
0.337 0.337 0.337 Hg
0.663 0.663 0.663 Hg
0.088 0.444 0.800 I
0.200 0.912 0.556 I
0.444 0.800 0.088 I
0.556 0.200 0.912 I
0.800 0.088 0.444 I
0.912 0.556 0.200 I
```

The relative energy among the computed polymorphs comes out at 0 meV/atom. As for the symmetry: R-3. The uncorrected formation energy comes out at -1.100 eV/atom.

---

The following is a DFT calculation (PBE) of Dy4In9Hg11 after structural relaxation.

POSCAR file:
```
Dy4In9Hg11
1.0
7.620 -10.791 0.000
7.620 10.791 0.000
0.000 0.000 3.822
Dy In Hg
4 9 11
Direct
0.081 0.255 0.000 Dy
0.255 0.081 0.000 Dy
0.745 0.919 0.000 Dy
0.919 0.745 0.000 Dy
0.000 0.000 0.000 In
0.120 0.658 0.000 In
0.301 0.484 0.000 In
0.342 0.880 0.000 In
0.484 0.301 0.000 In
0.516 0.699 0.000 In
0.658 0.120 0.000 In
0.699 0.516 0.000 In
0.880 0.342 0.000 In
0.095 0.447 0.500 Hg
0.125 0.875 0.500 Hg
0.278 0.278 0.500 Hg
0.314 0.686 0.500 Hg
0.447 0.095 0.500 Hg
0.500 0.500 0.500 Hg
0.553 0.905 0.500 Hg
0.686 0.314 0.500 Hg
0.722 0.722 0.500 Hg
0.875 0.125 0.500 Hg
0.905 0.553 0.500 Hg
```

The formation energy from the elements comes out at -137 meV/atom. As for the symmetry: Cmmm.